Entry 1:
Density functional theory data (PBE) for crystalline BaSi2Pd5 at its relaxed geometry.

a = 3.9756 Å, b = 7.0865 Å, c = 10.3688 Å
α = 90.00°, β = 90.00°, γ = 90.00°
Closest atoms and distances in Å follow each position.
Space group Immm (No. 71)
One atom of each set of equivalent atoms:
Ba (0.0000, 0.0000, 0.0000) (multiplicity 2)  14 Pd 3.39-3.77, 4 Si 3.43
Si (0.0000, 0.5000, 0.2306) (multiplicity 4)  7 Pd 2.39-2.52
Pd (0.0000, 0.1933, 0.3384) (multiplicity 8)  3 Si 2.44-2.52
Pd (0.0000, 0.5000, 0.0000) (multiplicity 2)  2 Si 2.39

Mass density in g/cm3: 8.25
Electronic total energy in eV/atom: -5.5210

Entry 2:
Density functional theory data (PBE) for crystalline GaHgPb at its relaxed geometry.

a = 7.1067 Å, b = 7.1067 Å, c = 7.1067 Å
α = 90.00°, β = 90.00°, γ = 90.00°
Closest atoms and distances in Å follow each position.
Space group F-43m (No. 216)
One atom of each set of equivalent atoms:
Ga (0.0000, 0.0000, 0.0000) (multiplicity 4)  4 Pb 3.08
Hg (0.0000, 0.0000, 0.5000) (multiplicity 4)  4 Pb 3.08
Pb (0.2500, 0.2500, 0.2500) (multiplicity 4)  4 Hg 3.08, 4 Ga 3.08

Mass density in g/cm3: 8.84
Electronic total energy in eV/atom: -2.1435

Repeat the first record exactly.
Density functional theory data (PBE) for crystalline BaSi2Pd5 at its relaxed geometry.

a = 3.9756 Å, b = 7.0865 Å, c = 10.3688 Å
α = 90.00°, β = 90.00°, γ = 90.00°
Closest atoms and distances in Å follow each position.
Space group Immm (No. 71)
One atom of each set of equivalent atoms:
Ba (0.0000, 0.0000, 0.0000) (multiplicity 2)  14 Pd 3.39-3.77, 4 Si 3.43
Si (0.0000, 0.5000, 0.2306) (multiplicity 4)  7 Pd 2.39-2.52
Pd (0.0000, 0.1933, 0.3384) (multiplicity 8)  3 Si 2.44-2.52
Pd (0.0000, 0.5000, 0.0000) (multiplicity 2)  2 Si 2.39

Mass density in g/cm3: 8.25
Electronic total energy in eV/atom: -5.5210